# 1
The following is a PBE calculation of AcNd3Tm8 after structural relaxation, from Alexandria via LeMat-Bulk.

Its total DFT energy (no corrections) is -101.20 eV/cell. The calculation puts the density of states at the Fermi level at 1.6066 states/eV/atom. Its calculated volume is 35.10 A^3/atom.

It has space group Immm (No. 71), with a = 6.322 Å, b = 11.418 Å, c = 11.670 Å, α = 90.00°, β = 90.00° and γ = 90.00°. The asymmetric unit holds Ac at (0.000, 0.000, 0.000), Nd at (0.000, 0.244, 0.500), Nd at (0.000, 0.500, 0.000), Tm at (0.000, 0.251, 0.179) and Tm at (0.248, 0.000, 0.258).

# 2
The following is a PBE calculation of AcNd4Tm8 after structural relaxation, from Alexandria via LeMat-Bulk.

Its total DFT energy (no corrections) is -155.77 eV/cell. The calculation puts the density of states at the Fermi level at 1.6808 states/eV/atom. Its calculated volume is 37.11 A^3/atom.

It has space group R-3m (No. 166, hexagonal axes), with a = 11.1015 Å, b = 11.1015 Å, c = 13.5588 Å, α = 90.00°, β = 90.00° and γ = 120.00°. The asymmetric unit holds Ac at (0.0000, 0.0000, 0.0000), Nd at (0.0000, 0.0000, 0.5000), Nd at (0.0000, 0.5000, 0.5000), Tm at (0.0000, 0.0000, 0.2632) and Tm at (0.0172, 0.5086, 0.2450).

# 3
The following is a PBE calculation of Ac2NdTm3 after structural relaxation, from Alexandria via LeMat-Bulk.

Its total DFT energy (no corrections) is -102.20 eV/cell. The calculation puts the density of states at the Fermi level at 1.2609 states/eV/atom. Its calculated volume is 36.91 A^3/atom.

It has space group C2/c (No. 15), with a = 16.185 Å, b = 7.557 Å, c = 7.442 Å, α = 90.00°, β = 103.26° and γ = 90.00°. The asymmetric unit holds Ac at (0.184, 0.005, 0.092), Nd at (0.000, 0.209, 0.750), Tm at (0.000, 0.215, 0.250) and Tm at (0.114, 0.498, 0.557).

# 4
The following is a PBE calculation of Ac2Nd3Tm6 after structural relaxation, from Alexandria via LeMat-Bulk.

Its total DFT energy (no corrections) is -94.43 eV/cell. The calculation puts the density of states at the Fermi level at 1.3396 states/eV/atom. Its calculated volume is 35.82 A^3/atom.

It has space group C2/m (No. 12), with a = 6.221 Å, b = 10.785 Å, c = 11.928 Å, α = 90.00°, β = 100.04° and γ = 90.00°. The asymmetric unit holds Ac at (0.000, 0.167, 0.000), Nd at (0.000, 0.000, 0.500), Nd at (0.000, 0.335, 0.500), Tm at (0.246, 0.500, 0.743) and Tm at (0.248, 0.166, 0.743).

# 5
The following is a PBE calculation of Ac3NdTm after structural relaxation, from Alexandria via LeMat-Bulk.

Its total DFT energy (no corrections) is -81.98 eV/cell. The calculation puts the density of states at the Fermi level at 1.7332 states/eV/atom. Its calculated volume is 41.30 A^3/atom.

It has space group C2/m (No. 12), with a = 11.983 Å, b = 7.645 Å, c = 9.235 Å, α = 90.00°, β = 102.46° and γ = 90.00°. The asymmetric unit holds Ac at (0.151, 0.234, 0.147), Ac at (0.164, 0.500, 0.499), Nd at (0.084, 0.000, 0.714) and Tm at (0.082, 0.500, 0.833).

# 6
The following is a PBE calculation of AcNd5YTm2 after structural relaxation, from Alexandria via LeMat-Bulk.

Its total DFT energy (no corrections) is -168.13 eV/cell. The calculation puts the density of states at the Fermi level at 1.3122 states/eV/atom. Its calculated volume is 35.90 A^3/atom.

It has space group Cmc2_1 (No. 36), with a = 5.565 Å, b = 24.254 Å, c = 9.576 Å, α = 90.00°, β = 90.00° and γ = 90.00°. The asymmetric unit holds Ac at (0.000, 0.103, 0.000), Nd at (0.000, 0.025, 0.331), Nd at (0.000, 0.106, 0.609), Nd at (0.000, 0.188, 0.300), Nd at (0.000, 0.241, 0.929), Nd at (0.000, 0.491, 0.116), Y at (0.000, 0.267, 0.606), Tm at (0.000, 0.325, 0.245) and Tm at (0.000, 0.388, 0.869).

# 7
The following is a PBE calculation of AcNd6YTm2 after structural relaxation, from Alexandria via LeMat-Bulk.

Its total DFT energy (no corrections) is -187.84 eV/cell. The calculation puts the density of states at the Fermi level at 1.4455 states/eV/atom. Its calculated volume is 35.33 A^3/atom.

It has space group C2/c (No. 15), with a = 9.414 Å, b = 15.453 Å, c = 9.766 Å, α = 90.00°, β = 95.93° and γ = 90.00°. The asymmetric unit holds Ac at (0.000, 0.030, 0.250), Nd at (0.062, 0.182, 0.946), Nd at (0.098, 0.389, 0.119), Nd at (0.220, 0.228, 0.318), Y at (0.000, 0.412, 0.750) and Tm at (0.241, 0.447, 0.452).

# 8
The following is a PBE calculation of AcNdY2Tm after structural relaxation, from Alexandria via LeMat-Bulk.

Its total DFT energy (no corrections) is -52.15 eV/cell. The calculation puts the density of states at the Fermi level at 1.7732 states/eV/atom. Its calculated volume is 35.05 A^3/atom.

It has space group P2_1/m (No. 11), with a = 6.411 Å, b = 5.861 Å, c = 9.851 Å, α = 90.00°, β = 108.75° and γ = 90.00°. The asymmetric unit holds Ac at (0.139, 0.250, 0.108), Nd at (0.482, 0.750, 0.109), Y at (0.258, 0.750, 0.692), Y at (0.335, 0.250, 0.503) and Tm at (0.072, 0.750, 0.313).